Record 1
Compound: Nd7Tl2Hg2
Source: Alexandria
Functional: PBE
Structure: relaxed

a b c (Å): 8.0145 11.4271 8.1511
angles (deg): 90.00 90.00 90.00
Space group Cmmm (No. 65)
Inequivalent atoms, fractional coordinates:
1 Nd 0.0000 0.0000 0.0000 x2
2 Nd 0.0000 0.5000 0.2508 x4
3 Nd 0.2500 0.2500 0.2866 x8
4 Tl 0.1828 0.0000 0.5000 x4
5 Hg 0.0000 0.2846 0.0000 x4

Energy of formation from the pure elements, eV per formula unit: -0.8



Record 2
Compound: Nd2Tl4Hg
Source: Alexandria
Functional: PBE
Structure: relaxed

a b c (Å): 13.6161 5.7575 6.0389
angles (deg): 90.00 109.38 90.00
Space group C2/m (No. 12)
Inequivalent atoms, fractional coordinates:
1 Nd 0.1469 0.0000 0.0948 x4
2 Tl 0.0000 0.0000 0.5000 x2
3 Tl 0.0000 0.5000 0.0000 x2
4 Tl 0.2504 0.0000 0.6646 x4
5 Hg 0.0000 0.5000 0.5000 x2

Energy of formation from the pure elements, eV per formula unit: -0.4



Record 3
Compound: Nd5Tl6Hg
Source: Alexandria
Functional: PBE
Structure: relaxed

a b c (Å): 16.4717 8.9264 5.0518
angles (deg): 90.00 107.74 90.00
Space group C2/m (No. 12)
Inequivalent atoms, fractional coordinates:
1 Nd 0.0000 0.0000 0.0000 x2
2 Nd 0.1379 0.5000 0.6376 x4
3 Nd 0.1775 0.0000 0.6776 x4
4 Tl 0.0000 0.2312 0.5000 x4
5 Tl 0.1713 0.2429 0.1712 x8
6 Hg 0.0000 0.5000 0.0000 x2

Energy of formation from the pure elements, eV per formula unit: -4.1



Record 4
Compound: NdTl2Hg
Source: Alexandria
Functional: PBE
Structure: relaxed

a b c (Å): 3.9432 3.9432 7.2540
angles (deg): 90.00 90.00 90.00
Space group P4/mmm (No. 123)
Inequivalent atoms, fractional coordinates:
1 Nd 0.0000 0.0000 0.0000 x1
2 Tl 0.5000 0.5000 0.2684 x2
3 Hg 0.0000 0.0000 0.5000 x1

Energy of formation from the pure elements, eV per formula unit: -0.6



Record 5
Compound: Nd9Tl2Hg
Source: Alexandria
Functional: PBE
Structure: relaxed

a b c (Å): 4.9868 4.9868 14.8874
angles (deg): 90.00 90.00 90.00
Space group P4/mmm (No. 123)
Inequivalent atoms, fractional coordinates:
1 Nd 0.0000 0.0000 0.0000 x1
2 Nd 0.0000 0.0000 0.3302 x2
3 Nd 0.0000 0.5000 0.1643 x4
4 Nd 0.0000 0.5000 0.5000 x2
5 Tl 0.5000 0.5000 0.3326 x2
6 Hg 0.5000 0.5000 0.0000 x1

Energy of formation from the pure elements, eV per formula unit: -2.3



Record 6
Compound: Nd4TlHg3
Source: Alexandria
Functional: PBE
Structure: relaxed

a b c (Å): 5.4385 5.4385 15.5452
angles (deg): 90.00 90.00 90.00
Space group I4/mmm (No. 139)
Inequivalent atoms, fractional coordinates:
1 Nd 0.0000 0.5000 0.1267 x8
2 Tl 0.0000 0.0000 0.0000 x2
3 Hg 0.0000 0.0000 0.2502 x4
4 Hg 0.0000 0.0000 0.5000 x2

Energy of formation from the pure elements, eV per formula unit: -3.6



Record 7
Compound: Nd6TlHg
Source: Alexandria
Functional: PBE
Structure: relaxed

a b c (Å): 4.9759 4.9759 9.9136
angles (deg): 90.00 90.00 90.00
Space group P4/mmm (No. 123)
Inequivalent atoms, fractional coordinates:
1 Nd 0.0000 0.0000 0.0000 x1
2 Nd 0.0000 0.0000 0.5000 x1
3 Nd 0.0000 0.5000 0.2479 x4
4 Tl 0.5000 0.5000 0.5000 x1
5 Hg 0.5000 0.5000 0.0000 x1

Energy of formation from the pure elements, eV per formula unit: -1.5



Record 8
Compound: Nd6TlHg5
Source: Alexandria
Functional: PBE
Structure: relaxed

a b c (Å): 5.4262 7.7428 8.5985
angles (deg): 90.00 108.47 90.00
Space group P2/m (No. 10)
Inequivalent atoms, fractional coordinates:
1 Nd 0.0000 0.2466 0.0000 x2
2 Nd 0.3329 0.2486 0.6640 x4
3 Tl 0.5000 0.5000 0.0000 x1
4 Hg 0.1647 0.5000 0.3320 x2
5 Hg 0.1656 0.0000 0.3335 x2
6 Hg 0.5000 0.0000 0.0000 x1

Energy of formation from the pure elements, eV per formula unit: -5.5



Record 9
Compound: Nd4TlHg2
Source: Alexandria
Functional: PBE
Structure: relaxed

a b c (Å): 5.2400 5.2400 29.4906
angles (deg): 90.00 90.00 120.00
Space group R-3m (No. 166, hexagonal axes)
Inequivalent atoms, fractional coordinates:
1 Nd 0.0000 0.0000 0.1222 x6
2 Nd 0.0000 0.0000 0.2940 x6
3 Tl 0.0000 0.0000 0.5000 x3
4 Hg 0.0000 0.0000 0.3984 x6

Energy of formation from the pure elements, eV per formula unit: -1.1



Record 10
Compound: Nd12Tl6Hg
Source: Alexandria
Functional: PBE
Structure: relaxed

a b c (Å): 12.0378 12.0378 14.2980
angles (deg): 90.00 90.00 120.00
Space group R-3 (No. 148, hexagonal axes)
Inequivalent atoms, fractional coordinates:
1 Nd 0.0534 0.2144 0.4065 x18
2 Nd 0.0700 0.8819 0.8234 x18
3 Tl 0.0178 0.5895 0.7137 x18
4 Hg 0.0000 0.0000 0.0000 x3

Energy of formation from the pure elements, eV per formula unit: -3.5



Record 11
Compound: Nd7Tl5Hg
Source: Alexandria
Functional: PBE
Structure: relaxed

a b c (Å): 6.8684 10.8260 11.0691
angles (deg): 90.00 90.00 90.00
Space group Imm2 (No. 44)
Inequivalent atoms, fractional coordinates:
1 Nd 0.0000 0.0000 0.0000 x2
2 Nd 0.0000 0.0000 0.3646 x2
3 Nd 0.0000 0.3137 0.6142 x4
4 Nd 0.0000 0.3233 0.0964 x4
5 Nd 0.0000 0.5000 0.3383 x2
6 Tl 0.0000 0.5000 0.8502 x2
7 Tl 0.2420 0.2382 0.8582 x8
8 Hg 0.0000 0.0000 0.6601 x2

Energy of formation from the pure elements, eV per formula unit: -2.6



Record 12
Compound: Nd5TlHg4
Source: Alexandria
Functional: PBE
Structure: relaxed

a b c (Å): 3.8370 3.8370 19.4466
angles (deg): 90.00 90.00 90.00
Space group P4/mmm (No. 123)
Inequivalent atoms, fractional coordinates:
1 Nd 0.0000 0.0000 0.0000 x1
2 Nd 0.0000 0.0000 0.1972 x2
3 Nd 0.0000 0.0000 0.3943 x2
4 Tl 0.5000 0.5000 0.5000 x1
5 Hg 0.5000 0.5000 0.0991 x2
6 Hg 0.5000 0.5000 0.2962 x2

Energy of formation from the pure elements, eV per formula unit: -4.5



Record 13
Compound: Nd5Tl4Hg
Source: Alexandria
Functional: PBE
Structure: relaxed

a b c (Å): 3.8596 3.8596 19.8329
angles (deg): 90.00 90.00 90.00
Space group P4/mmm (No. 123)
Inequivalent atoms, fractional coordinates:
1 Nd 0.0000 0.0000 0.0000 x1
2 Nd 0.0000 0.0000 0.2017 x2
3 Nd 0.0000 0.0000 0.4044 x2
4 Tl 0.5000 0.5000 0.1008 x2
5 Tl 0.5000 0.5000 0.3039 x2
6 Hg 0.5000 0.5000 0.5000 x1

Energy of formation from the pure elements, eV per formula unit: -4.1



Record 14
Compound: Nd4Tl2Hg3
Source: Alexandria
Functional: PBE
Structure: relaxed

a b c (Å): 5.2587 5.4847 10.2736
angles (deg): 84.09 89.89 61.39
Space group P-1 (No. 2)
Inequivalent atoms, fractional coordinates:
1 Nd 0.0215 0.4553 0.3291 x2
2 Nd 0.3413 0.8169 0.1098 x2
3 Tl 0.3188 0.8638 0.7735 x2
4 Hg 0.0000 0.5000 0.0000 x1
5 Hg 0.3481 0.8024 0.4342 x2

Energy of formation from the pure elements, eV per formula unit: -3.1



Record 15
Compound: Nd6Tl3Hg
Source: Alexandria
Functional: PBE
Structure: relaxed

a b c (Å): 9.4383 12.5334 5.4201
angles (deg): 90.00 90.00 90.00
Space group Pnnm (No. 58)
Inequivalent atoms, fractional coordinates:
1 Nd 0.0003 0.2475 0.0000 x4
2 Nd 0.1647 0.0865 0.5000 x4
3 Nd 0.1694 0.4129 0.5000 x4
4 Tl 0.0000 0.5000 0.0000 x2
5 Tl 0.1670 0.7459 0.5000 x4
6 Hg 0.0000 0.0000 0.0000 x2

Energy of formation from the pure elements, eV per formula unit: -2.6



Record 16
Compound: Nd6Tl3Hg
Source: Alexandria
Functional: PBE
Structure: relaxed

a b c (Å): 9.6605 5.4708 12.0440
angles (deg): 90.00 107.21 90.00
Space group P2_1/m (No. 11)
Inequivalent atoms, fractional coordinates:
1 Nd 0.0340 0.2500 0.4084 x2
2 Nd 0.1620 0.7500 0.1781 x2
3 Nd 0.2556 0.2500 0.9991 x2
4 Nd 0.3501 0.7500 0.8122 x2
5 Nd 0.3702 0.2500 0.3455 x2
6 Nd 0.4064 0.2500 0.6200 x2
7 Tl 0.0325 0.7500 0.8840 x2
8 Tl 0.1263 0.2500 0.7156 x2
9 Tl 0.2711 0.7500 0.4732 x2
10 Hg 0.4555 0.7500 0.1038 x2

Energy of formation from the pure elements, eV per formula unit: -3.0



Record 17
Compound: Nd5TlHg3
Source: Alexandria
Functional: PBE
Structure: relaxed

a b c (Å): 9.4785 9.4785 6.8488
angles (deg): 90.00 90.00 120.00
Space group P6_3/mcm (No. 193)
Inequivalent atoms, fractional coordinates:
1 Nd 0.0000 0.2964 0.2500 x6
2 Nd 0.3333 0.6667 0.0000 x4
3 Tl 0.0000 0.0000 0.0000 x2
4 Hg 0.0000 0.3694 0.7500 x6

Energy of formation from the pure elements, eV per formula unit: -3.3



Record 18
Compound: Nd6Tl5Hg
Source: Alexandria
Functional: PBE
Structure: relaxed

a b c (Å): 5.5271 7.7603 8.7272
angles (deg): 90.00 108.37 90.00
Space group P2/m (No. 10)
Inequivalent atoms, fractional coordinates:
1 Nd 0.0000 0.2470 0.0000 x2
2 Nd 0.3344 0.2480 0.6689 x4
3 Tl 0.1648 0.0000 0.3296 x2
4 Tl 0.1670 0.5000 0.3340 x2
5 Tl 0.5000 0.5000 0.0000 x1
6 Hg 0.5000 0.0000 0.0000 x1

Energy of formation from the pure elements, eV per formula unit: -4.8



Record 19
Compound: NdTl2Hg5
Source: Alexandria
Functional: PBE
Structure: relaxed

a b c (Å): 4.7830 4.7830 18.8298
angles (deg): 90.00 90.00 90.00
Space group I4/mmm (No. 139)
Inequivalent atoms, fractional coordinates:
1 Nd 0.0000 0.0000 0.0000 x2
2 Tl 0.0000 0.0000 0.2463 x4
3 Hg 0.0000 0.0000 0.5000 x2
4 Hg 0.0000 0.5000 0.1215 x8

Energy of formation from the pure elements, eV per formula unit: -1.6



Record 20
Compound: Nd3Tl4Hg2
Source: Alexandria
Functional: PBE
Structure: relaxed

a b c (Å): 11.7021 5.0222 9.5816
angles (deg): 90.00 115.29 90.00
Space group C2/m (No. 12)
Inequivalent atoms, fractional coordinates:
1 Nd 0.0000 0.0000 0.0000 x2
2 Nd 0.1648 0.5000 0.6672 x4
3 Tl 0.0317 0.0000 0.3604 x4
4 Tl 0.1877 0.5000 0.0274 x4
5 Hg 0.1535 0.5000 0.3212 x4

Energy of formation from the pure elements, eV per formula unit: -3.0